Compound: La5TbPrNd2
Source: Alexandria via LeMat-Bulk
Functional: PBE-GGA
Structure: relaxed

Computed properties:
- Total magnetization: 0.00 μB per formula unit
- Symmetry: I4/mcm, No. 140
- Raw total energy: -4.59 eV per atom
- Energy of formation: 0.25 eV/atom
- Fermi-level density of states: 31.9 states/eV per cell

Cell lengths 9.147, 9.147, 10.124 Å; angles 116.86, 116.86, 90.00 degrees
Fractional coordinates of all 18 atoms:
Pr 0.250 0.250 0.500
Pr 0.750 0.750 0.500
La 0.000 0.000 0.000
La 0.068 0.568 0.723
La 0.568 0.655 0.723
La 0.500 0.500 0.000
La 0.655 0.155 0.723
La 0.155 0.068 0.723
La 0.845 0.932 0.277
La 0.932 0.432 0.277
La 0.345 0.845 0.277
La 0.432 0.345 0.277
Nd 0.884 0.616 0.000
Nd 0.384 0.884 0.000
Nd 0.116 0.384 0.000
Nd 0.616 0.116 0.000
Tb 0.750 0.250 0.500
Tb 0.250 0.750 0.500